This record from Alexandria describes Ac5Y after structural relaxation. The functional is PBE.

Calculated volume   284.4 Å³ per cell
Total energy   -24.49 eV for the cell shown

Cell: 7.1410 7.1410 6.4399 Å, 90.00 90.00 120.00°
With the nearest neighbours (Å) after each atom.
Space group P6/mmm (No. 191)
One atom of each set of equivalent atoms:
Ac: 0.0000 0.5000 0.0000 (multiplicity 3)  8 Ac 3.57-3.82
Ac: 0.3333 0.6667 0.5000 (multiplicity 2)  9 Ac 3.82-4.12, 3 Y 4.12
Y: 0.0000 0.0000 0.5000 (multiplicity 1)  6 Ac 4.12